(1)
{"formula": "BaZn3", "functional": "GGA-PBEsol", "state": "optimized geometry", "lattice_angstrom": [[4.3284, 0.0000, 0.0000], [0.0000, 6.8325, 0.0000], [0.0000, 0.0000, 6.3390]], "species": ["Ba", "Ba", "Zn", "Zn", "Zn", "Zn", "Zn", "Zn"], "frac_coords": [[0.2500, 0.2500, 0.1033], [0.7500, 0.7500, 0.8967], [0.2500, 0.0503, 0.6009], [0.2500, 0.4497, 0.6009], [0.2500, 0.7500, 0.3465], [0.7500, 0.2500, 0.6535], [0.7500, 0.5503, 0.3991], [0.7500, 0.9497, 0.3991]], "n_ef_per_ev_cell": 4.90, "dft_energy_ev_per_atom": -1.898, "e_form_ev_per_fu": -0.695, "space_group": "No. 59"}

(2)
{"formula": "Ba2Zn", "functional": "GGA-PBEsol", "state": "optimized geometry", "lattice_angstrom": [[4.2076, 0.0000, 0.0000], [0.0000, 15.0234, 0.0000], [0.0000, 0.0000, 7.9293]], "species": ["Ba", "Ba", "Ba", "Ba", "Ba", "Ba", "Ba", "Ba", "Zn", "Zn", "Zn", "Zn"], "frac_coords": [[0.0000, 0.0267, 0.0000], [0.0000, 0.2841, 0.1624], [0.0000, 0.7159, 0.6624], [0.0000, 0.9733, 0.5000], [0.5000, 0.2159, 0.6624], [0.5000, 0.4733, 0.5000], [0.5000, 0.5267, 0.0000], [0.5000, 0.7841, 0.1624], [0.0000, 0.3859, 0.7802], [0.0000, 0.6141, 0.2802], [0.5000, 0.1141, 0.2802], [0.5000, 0.8859, 0.7802]], "n_ef_per_ev_cell": 14.85, "dft_energy_ev_per_atom": -2.014, "e_form_ev_per_fu": -0.163, "space_group": "No. 36"}